Version one
LiNbSb2Te PBE-GGA relaxed; DOS(E_F) = 3.1 states/eV per cell; M_tot = 0.0000 μB per atom
1.0
-3.6709 -3.2116 2.3959
0.6656 -3.6930 -3.9305
3.9482 -2.3599 2.8859
Sb Nb Te Li
2 1 1 1
Direct
0.0000 0.5000 0.0000
0.5000 0.0000 0.0000
0.0000 0.0000 0.0000
0.0000 0.0000 0.5000
0.5000 0.5000 0.5000


Version two
LiNbSb2Te PBE-GGA relaxed; DOS(E_F) = 6.8 states/eV per cell; M_tot = 0.0014 μB per atom
1.0
4.8518 0.0000 0.0000
0.0000 4.8518 0.0000
0.0000 0.0000 5.0304
Sb Nb Te Li
2 1 1 1
Direct
0.0000 0.5000 0.0000
0.5000 0.0000 0.0000
0.5000 0.5000 0.5000
0.0000 0.0000 0.5000
0.0000 0.0000 0.0000


Least stable of them? version two.


Version one
LiSc2Nb2 PBE-GGA relaxed; DOS(E_F) = 17.7 states/eV per cell; M_tot = 0.0000 μB per atom
1.0
-7.2521 3.7097 -1.1437
-3.1346 -7.0256 -2.9117
-0.9159 -0.8524 3.0429
Sc Nb Li
4 4 2
Direct
0.1910 0.6910 0.5000
0.6910 0.8090 0.5000
0.8090 0.3090 0.5000
0.3090 0.1910 0.5000
0.3960 0.8960 0.0000
0.8960 0.6040 0.0000
0.6040 0.1040 0.0000
0.1040 0.3960 0.0000
0.0000 0.0000 0.0000
0.5000 0.5000 0.0000


Version two
LiSc2Nb2 PBE-GGA relaxed; DOS(E_F) = 6.0 states/eV per cell; M_tot = 0.0000 μB per atom
1.0
-0.9785 3.8490 -0.6918
-2.3887 -1.1529 -3.0357
-6.8698 0.8004 2.4250
Sc Nb Li
2 2 1
Direct
0.7500 0.2500 0.5000
0.2500 0.7500 0.5000
0.4149 0.4149 0.1703
0.5851 0.5851 0.8297
0.0000 0.0000 0.0000


Least stable of them? version two.


Version one
LiSc2Nb PBE-GGA relaxed; DOS(E_F) = 6.7 states/eV per cell; M_tot = 0.0000 μB per atom
1.0
-3.3017 -0.7837 -2.3388
2.2084 -2.6797 -2.2198
-3.1319 -8.8656 3.7607
Sc Nb Li
4 2 2
Direct
0.6301 0.1250 0.2500
0.1199 0.6250 0.2500
0.3750 0.3699 0.7500
0.8750 0.8801 0.7500
0.0000 0.0000 0.0000
0.7500 0.2500 0.5000
0.5000 0.5000 0.0000
0.2500 0.7500 0.5000


Version two
LiSc2Nb PBE-GGA relaxed; DOS(E_F) = 4.9 states/eV per cell; M_tot = 0.0000 μB per atom
1.0
-2.7942 1.0331 -0.9336
-2.5178 -1.8213 0.3002
-3.4705 3.6373 9.1926
Sc Nb Li
2 1 1
Direct
0.7443 0.7443 0.7671
0.2557 0.2557 0.2329
0.0000 0.0000 0.0000
0.5000 0.5000 0.5000


Version three
LiSc2Nb PBE-GGA relaxed; DOS(E_F) = 5.0 states/eV per cell; M_tot = 0.0000 μB per atom
1.0
3.0879 0.0000 0.0000
0.0000 3.0879 0.0000
0.0000 0.0000 9.0093
Sc Nb Li
2 1 1
Direct
0.0000 0.0000 0.7678
0.0000 0.0000 0.2322
0.5000 0.5000 0.0000
0.5000 0.5000 0.5000


Version four
LiSc2Nb PBE-GGA relaxed; DOS(E_F) = 2.3 states/eV per cell; M_tot = 0.5465 μB per atom
1.0
-3.1717 -3.6167 -0.8630
-3.1757 -1.3435 3.4634
-4.7559 0.9944 -0.5269
Sc Nb Li
2 1 1
Direct
0.2500 0.2500 0.2500
0.7500 0.7500 0.7500
0.5000 0.5000 0.5000
0.0000 0.0000 0.0000


Least stable of them? version one.